## AsOsBr2 (PBE)

Data for a relaxed structure of AsOsBr2.

Values from the calculation:
**Formation energy from raw total energies**: 1.1927 eV/atom
**Electronic total energy**: -3.61 eV/atom
**Distance to the lowest polymorph of the same formula**: 1102.7 meV/atom
**M_tot**: 0.9 Bohr magnetons per cell
**Calculated density**: 9.3 g/cm3

a = 4.7539 Å, b = 4.7539 Å, c = 4.7539 Å
α = 60.00°, β = 60.00°, γ = 60.00°
Fractional coordinates of all 4 atoms:
As: 0.5000 0.5000 0.5000
Os: 0.7500 0.7500 0.7500
Br: 0.0000 0.0000 0.0000
Br: 0.2500 0.2500 0.2500